(1)
DFT (GGA-PBE) results for Re4Te after structural relaxation.

```
Re4Te
1.0
-2.033 2.033 5.787
2.033 -2.033 5.787
2.033 2.033 -5.787
Re Te
4 1
Direct
0.250 0.750 0.500
0.620 0.620 0.000
0.750 0.250 0.500
0.380 0.380 0.000
0.000 0.000 0.000
```

Values from the calculation:
Energy relative to the elements, uncorrected: 0.6090 eV/atom
SG: No. 139
ΔE to the lowest computed polymorph: 0 meV/atom
Total energy: -49.89 eV per cell

***

(2)
DFT (GGA-PBE) results for DyIrPd2 after structural relaxation.

```
DyIrPd2
1.0
-0.723 -3.293 -2.240
4.045 -0.791 -0.143
-0.321 -2.264 3.432
Dy Pd Ir
1 2 1
Direct
0.500 0.500 0.500
0.000 0.000 0.500
0.000 0.500 0.000
0.500 0.000 0.000
```

Values from the calculation:
SG: No. 123
ΔE_f: -0.614 eV per atom
Total energy: -26.31 eV per cell

***

(3)
DFT (GGA-PBE) results for Ba2ZnCd10 after structural relaxation.

```
Ba2ZnCd10
1.0
-1.372 5.592 3.075
-10.868 -4.223 2.830
3.625 -3.716 8.374
Cd Ba Zn
20 4 2
Direct
0.720 0.317 0.571
0.280 0.817 0.929
0.000 0.380 0.040
0.000 0.620 0.960
0.280 0.317 0.571
0.280 0.183 0.071
0.000 0.560 0.238
0.000 0.799 0.179
0.000 0.201 0.821
0.000 0.940 0.738
0.000 0.701 0.679
0.000 0.440 0.762
0.720 0.683 0.429
0.720 0.817 0.929
0.000 0.299 0.321
0.000 0.060 0.262
0.000 0.880 0.460
0.000 0.120 0.540
0.280 0.683 0.429
0.720 0.183 0.071
0.500 0.065 0.754
0.500 0.935 0.246
0.500 0.435 0.254
0.500 0.565 0.746
0.000 0.500 0.500
0.000 0.000 0.000
```

Values from the calculation:
SG: No. 55
ΔE_f: -0.122 eV per atom
Total energy: -31.71 eV per cell

***

(4)
DFT (GGA-PBE) results for CaAg2Sn after structural relaxation.

```
CaAg2Sn
1.0
-3.352 2.110 -1.582
-2.228 -4.000 -0.615
-1.788 0.343 4.246
Ag Sn Ca
2 1 1
Direct
0.000 0.500 0.000
0.000 0.000 0.500
0.500 0.000 0.000
0.500 0.500 0.500
```

Values from the calculation:
SG: No. 123
ΔE_f: -0.251 eV per atom
Total energy: -12.71 eV per cell

***

> The lowest total energy belongs to which entry?

Re4Te

***

> Among the records above, which one has the highest total energy?

CaAg2Sn